[1]
The following is a GGA-PBEsol calculation of an optimized crystal structure of NaTe2Pd, from the Alexandria database.

Results
Formation energy from raw total energies   -0.03 eV/atom
Final energy   -3.630 eV per atom

```
NaTe2Pd
1.0
3.358 0.000 0.000
1.679 2.908 0.000
1.679 0.969 9.970
Na Te Pd
1 2 1
direct
0.000 0.000 0.000 Na
0.584 0.584 0.247 Te
0.416 0.416 0.753 Te
0.500 0.500 0.500 Pd
```

***

[2]
The following is a GGA-PBEsol calculation of an optimized crystal structure of ZrTl2P, from the Alexandria database.

Results
Calculated formation energy   -113.9 meV/atom
Final energy   -5.149 eV per atom

```
ZrTl2P
1.0
3.528 0.000 0.000
0.000 4.928 0.000
-1.764 -2.464 5.192
P Tl Zr
1 2 1
direct
0.212 0.712 0.424 P
0.982 0.982 0.963 Tl
0.766 0.266 0.531 Tl
0.541 0.541 0.082 Zr
```

***

[3]
The following is a GGA-PBEsol calculation of an optimized crystal structure of TiIr2PbAu, from the Alexandria database.

Results
Calculated formation energy   2048.7 meV/atom
Final energy   -5.130 eV per atom

```
TiIr2PbAu
1.0
-0.424 -4.495 -1.849
-0.699 -1.780 4.488
-4.888 0.666 -0.497
Pb Ir Au Ti
1 2 1 1
direct
0.000 0.000 0.000 Pb
0.000 0.500 0.000 Ir
0.500 0.000 0.000 Ir
0.500 0.500 0.500 Au
0.000 0.000 0.500 Ti
```

***

[4]
The following is a GGA-PBEsol calculation of an optimized crystal structure of Ta5Ga3B, from the Alexandria database.

Results
Calculated formation energy   -472.6 meV/atom
Final energy   -9.338 eV per atom

```
Ta5Ga3B
1.0
-3.029 4.123 1.314
-5.344 -2.322 -5.034
-0.230 -2.490 7.282
Ta Ga B
10 6 2
direct
0.250 0.000 0.757 Ta
0.750 0.000 0.243 Ta
0.250 0.757 0.000 Ta
0.750 0.243 0.000 Ta
0.250 0.243 0.243 Ta
0.750 0.757 0.757 Ta
0.500 0.333 0.667 Ta
0.500 0.667 0.333 Ta
0.000 0.667 0.333 Ta
0.000 0.333 0.667 Ta
0.250 0.000 0.401 Ga
0.750 0.000 0.599 Ga
0.250 0.401 0.000 Ga
0.750 0.599 0.000 Ga
0.250 0.599 0.599 Ga
0.750 0.401 0.401 Ga
0.500 0.000 0.000 B
0.000 0.000 0.000 B
```

***

[5]
The following is a GGA-PBEsol calculation of an optimized crystal structure of NaHoO2, from the Alexandria database.

Results
Formation energy from raw total energies   -2.85 eV/atom
Final energy   -7.067 eV per atom

```
NaHoO2
1.0
-3.415 2.305 1.926
-2.911 -1.821 -2.983
2.333 -4.130 3.711
Na Ho O
2 2 4
direct
0.000 0.000 0.000 Na
0.250 0.750 0.500 Na
0.500 0.500 0.000 Ho
0.750 0.250 0.500 Ho
0.529 0.029 0.057 O
0.721 0.721 0.443 O
0.279 0.279 0.557 O
0.971 0.471 0.943 O
```

***

[6]
The following is a GGA-PBEsol calculation of an optimized crystal structure of K3SmP2O8, from the Alexandria database.

Results
Formation energy from raw total energies   -2.61 eV/atom
Final energy   -7.047 eV per atom

```
K3SmP2O8
1.0
5.631 0.000 0.000
0.000 7.396 0.017
0.000 -0.161 9.444
K Sm P O
6 2 4 16
direct
0.750 0.506 0.190 K
0.250 0.494 0.810 K
0.750 0.362 0.592 K
0.250 0.638 0.408 K
0.250 0.200 0.083 K
0.750 0.800 0.917 K
0.750 0.006 0.291 Sm
0.250 0.994 0.709 Sm
0.250 0.191 0.427 P
0.250 0.767 0.087 P
0.750 0.233 0.913 P
0.750 0.809 0.573 P
0.250 0.561 0.101 O
0.525 0.153 0.839 O
0.025 0.847 0.161 O
0.475 0.847 0.161 O
0.250 0.283 0.576 O
0.750 0.717 0.424 O
0.250 0.985 0.452 O
0.750 0.015 0.548 O
0.975 0.753 0.657 O
0.475 0.247 0.343 O
0.025 0.247 0.343 O
0.525 0.753 0.657 O
0.750 0.176 0.071 O
0.250 0.824 0.929 O
0.750 0.439 0.899 O
0.975 0.153 0.839 O
```

***

[7]
The following is a GGA-PBEsol calculation of an optimized crystal structure of Y2CdIn, from the Alexandria database.

Results
Calculated formation energy   -220.2 meV/atom
Final energy   -4.676 eV per atom

```
Y2CdIn
1.0
-2.719 1.451 2.415
0.220 -3.237 2.192
4.886 2.885 3.769
Cd In Y
1 1 2
direct
0.000 0.000 0.501 Cd
0.500 0.500 0.745 In
0.000 0.000 0.981 Y
0.500 0.500 0.273 Y
```

***

[8]
The following is a GGA-PBEsol calculation of an optimized crystal structure of CuAg3, from the Alexandria database.

Results
Calculated formation energy   83.9 meV/atom
Final energy   -3.483 eV per atom

```
CuAg3
1.0
2.799 0.000 0.000
0.000 4.793 0.000
-1.400 -2.397 4.596
Cu Ag
1 3
direct
0.500 0.159 0.000 Cu
0.239 0.253 0.477 Ag
0.000 0.646 0.000 Ag
0.761 0.776 0.523 Ag
```

***

[9]
The following is a GGA-PBEsol calculation of an optimized crystal structure of BiHPd3, from the Alexandria database.

Results
Final energy   -5.296 eV per atom

```
BiHPd3
1.0
4.120 0.000 0.000
0.000 4.120 0.000
0.000 0.000 4.120
H Bi Pd
1 1 3
direct
0.000 0.000 0.000 H
0.500 0.500 0.500 Bi
0.000 0.500 0.000 Pd
0.000 0.000 0.500 Pd
0.500 0.000 0.000 Pd
```

***

[10]
The following is a GGA-PBEsol calculation of an optimized crystal structure of Be2Nb2Re, from the Alexandria database.

Results
Calculated formation energy   -319.1 meV/atom
Final energy   -8.914 eV per atom

```
Be2Nb2Re
1.0
3.277 0.000 0.000
0.000 6.309 0.000
0.000 0.000 6.309
Re Nb Be
2 4 4
direct
0.000 0.000 0.000 Re
0.000 0.500 0.500 Re
0.500 0.178 0.678 Nb
0.500 0.678 0.822 Nb
0.500 0.822 0.322 Nb
0.500 0.322 0.178 Nb
0.000 0.381 0.881 Be
0.000 0.881 0.619 Be
0.000 0.619 0.119 Be
0.000 0.119 0.381 Be
```

***

[11]
The following is a GGA-PBEsol calculation of an optimized crystal structure of GdB2Ru2, from the Alexandria database.

Results
Calculated formation energy   -522.9 meV/atom
Final energy   -10.288 eV per atom

```
GdB2Ru2
1.0
-2.969 -3.505 3.053
-0.345 -1.705 -5.234
5.594 -0.169 1.734
Gd B Ru
2 4 4
direct
0.000 0.000 0.000 Gd
0.250 0.750 0.500 Gd
0.312 0.688 0.000 B
0.688 0.312 0.000 B
0.562 0.438 0.500 B
0.938 0.062 0.500 B
0.638 0.638 0.275 Ru
0.362 0.362 0.725 Ru
0.612 0.112 0.225 Ru
0.888 0.388 0.775 Ru
```

***

[12]
The following is a GGA-PBEsol calculation of an optimized crystal structure of KPtW2, from the Alexandria database.

Results
Calculated formation energy   915.9 meV/atom
E above lowest polymorph   0 meV/atom
Final energy   -8.012 eV per atom

```
KPtW2
1.0
2.729 0.000 0.000
-1.365 4.830 0.000
0.000 -1.142 6.815
K Pt W
1 1 2
direct
0.488 0.977 0.473 K
0.712 0.425 0.185 Pt
0.018 0.037 0.953 W
0.281 0.562 0.889 W
```